VASP calculation (PBE) on a relaxed structure of Cs2InSiS4. Values from VASP.

```
&SYSTEM
  ibrav = 0, nat = 16, ntyp = 4
/
ATOMIC_SPECIES
Cs 132.91 Cs.upf
In 114.82 In.upf
Si 28.09 Si.upf
S 32.06 S.upf
CELL_PARAMETERS angstrom
0.0000 7.0103 12.6148
3.2414 0.0000 12.6148
3.2414 7.0103 0.0000
ATOMIC_POSITIONS angstrom
Cs 2.4310 5.2577 1.3605
Cs 4.0517 8.7629 7.6679
Cs 2.4310 5.2577 17.5618
Cs 4.0517 8.7629 23.8692
In 0.8103 1.7526 3.1537
In 5.6724 12.2681 22.0759
Si 2.4310 5.2577 9.4611
Si 4.0517 8.7629 15.7685
S 3.6633 3.9901 8.2282
S 3.6633 6.5254 10.6940
S 5.2840 7.4953 17.0014
S 5.2840 10.0305 14.5357
S 1.1987 3.9901 10.6940
S 1.1987 6.5254 8.2282
S 2.8194 7.4953 14.5357
S 2.8194 10.0305 17.0014
```

Values from the calculation:
DOS(E_F) ... 4.3 states/eV/f.u.
E_form (uncorrected) ... -0.85 eV per atom
Spin magnetization ... 0.09 μB per atom